VASP calculation (PBE) on a geometry-optimized SrFeSe structure.

a b c (Å): 7.179 7.179 7.179
angles (deg): 90.00 90.00 90.00
Space group F-43m (No. 216)
One atom of each set of equivalent atoms:
Sr 0.000 0.000 0.000 [4 per cell]
Fe 0.250 0.250 0.750 [4 per cell]
Se 0.250 0.250 0.250 [4 per cell]

formation energy (no corrections) = 0.30 eV per atom
energy relative to the lowest polymorph listed for this composition = 853.1 meV/atom